# 1
Here is a relaxed Rb2InAgAu2 crystal from Alexandria via LeMat-Bulk. Energies are from PBE.

Geometry as POSCAR:
```
Rb2InAgAu2
1.0
-3.485 7.122 3.962
3.485 -7.122 3.962
3.485 7.122 -3.962
Rb In Ag Au
4 2 2 4
Cartesian
1.566 2.524 0.000
1.566 -2.524 3.962
1.919 9.646 0.000
1.919 4.598 3.962
3.485 0.000 1.981
0.000 7.122 1.981
0.000 0.000 1.981
0.000 0.000 5.943
5.191 1.023 0.000
1.707 6.098 0.000
1.778 1.023 3.962
-1.707 6.098 3.962
```

Calculated values
E_tot: -2.531 eV/atom
Energy of formation from the pure elements: -184 meV/atom
Calculated density: 6.651 g cm⁻³
Space-group type: Ibam, No. 72

---

# 2
Here is a relaxed Ho4Pd12Pt crystal from Alexandria via LeMat-Bulk. Energies are from PBE.

Geometry as POSCAR:
```
Ho4Pd12Pt
1.0
-4.254 4.254 4.254
4.254 -4.254 4.254
4.254 4.254 -4.254
Ho Pd Pt
4 12 1
Cartesian
2.127 2.127 -2.127
2.127 -2.127 2.127
-2.127 2.127 2.127
2.127 2.127 2.127
2.562 0.000 0.000
5.945 0.000 0.000
4.254 2.127 0.000
4.254 0.000 2.127
0.000 2.562 0.000
0.000 0.000 2.562
2.127 4.254 0.000
2.127 0.000 4.254
0.000 5.945 0.000
0.000 0.000 5.945
0.000 4.254 2.127
0.000 2.127 4.254
0.000 0.000 0.000
```

Calculated values
E_tot: -5.862 eV/atom
Energy of formation from the pure elements: -764 meV/atom
Calculated density: 11.499 g cm⁻³
Space-group type: Im-3m, No. 229

---

# 3
Here is a relaxed Y3Ag2Hg3 crystal from Alexandria via LeMat-Bulk. Energies are from PBE.

Geometry as POSCAR:
```
Y3Ag2Hg3
1.0
7.645 0.000 0.000
-3.822 6.621 0.000
0.000 0.000 3.876
Y Ag Hg
3 2 3
Cartesian
-2.313 4.006 0.000
1.510 2.615 0.000
4.625 0.000 0.000
0.000 4.414 1.938
3.823 2.207 1.938
-0.917 1.588 1.938
1.833 0.000 1.938
2.906 5.033 1.938
```

Calculated values
E_tot: -3.611 eV/atom
Energy of formation from the pure elements: -361 meV/atom
Calculated density: 9.177 g cm⁻³
Space-group type: P-62m, No. 189

---

# 4
Here is a relaxed La3Pr8 crystal from Alexandria via LeMat-Bulk. Energies are from PBE.

Geometry as POSCAR:
```
La3Pr8
1.0
5.018 2.897 4.530
-5.018 2.897 4.530
0.000 -5.794 4.530
La Pr
3 8
Cartesian
-2.509 -1.449 4.530
-2.509 1.449 9.060
0.000 2.897 4.530
-3.768 -1.211 7.505
-0.835 -3.869 6.085
-2.933 2.658 6.085
0.000 0.000 5.173
0.000 0.000 8.417
2.933 -2.658 7.505
0.835 3.869 7.505
3.768 1.211 6.085
```

Calculated values
E_tot: -4.440 eV/atom
Energy of formation from the pure elements: 380 meV/atom
Calculated density: 6.488 g cm⁻³
Space-group type: R-3, No. 148

---

Which value of energy of formation from the pure elements does entry 2 give?
-764 meV/atom

---

Which value of energy of formation from the pure elements does entry 1 give?
-184 meV/atom

---

The lowest E_tot belongs to which entry?
Ho4Pd12Pt